Material: LaInGa2Co
Method: DFT, PBE-GGA
State: optimized geometry

The space group is P4/mmm (No. 123) and the conventional cell measures 4.758, 4.758 and 4.996 Å, with angles of 90.00, 90.00 and 90.00 degrees. The distinct sites, in fractional coordinates, are La at (0.000, 0.000, 0.000), In at (0.500, 0.500, 0.000), Ga at (0.000, 0.500, 0.500) and Co at (0.000, 0.000, 0.500).

The density of states at the Fermi level is 0.67 states/eV per atom. The value obtained for the relative energy among the computed polymorphs is 3.06 kJ/mol of atoms.



Material: RbDyFe2Cl8
Method: DFT, PBE-GGA
State: optimized geometry

The space group is C2/m (No. 12) and the conventional cell measures 10.720, 7.392 and 9.809 Å, with angles of 90.00, 94.48 and 90.00 degrees. The distinct sites, in fractional coordinates, are Rb at (0.000, 0.000, 0.000), Dy at (0.000, 0.000, 0.500), Fe at (0.125, 0.500, 0.287), Cl at (0.007, 0.247, 0.699), Cl at (0.197, 0.500, 0.081) and Cl at (0.247, 0.000, 0.512).

The value obtained for the uncorrected formation energy is -136.2 kJ per mole of atoms. The density of states at the Fermi level is 1.14 states/eV per atom.



Material: Cr3GaSn
Method: DFT, PBE-GGA
State: optimized geometry

The space group is Pm-3m (No. 221) and the conventional cell measures 5.177, 5.177 and 5.177 Å, with angles of 90.00, 90.00 and 90.00 degrees. The distinct sites, in fractional coordinates, are Cr at (0.000, 0.000, 0.500), Ga at (0.500, 0.500, 0.500) and Sn at (0.000, 0.000, 0.000).

The density of states at the Fermi level is 0.96 states/eV per atom. The value obtained for the relative energy among the computed polymorphs is 41.81 kJ/mol of atoms.



Material: K3Na4Tl
Method: DFT, PBE-GGA
State: optimized geometry

The space group is Pmn2_1 (No. 31) and the conventional cell measures 12.074, 8.206 and 7.393 Å, with angles of 90.00, 90.00 and 90.00 degrees. The distinct sites, in fractional coordinates, are K at (0.000, 0.007, 0.000), K at (0.194, 0.177, 0.498), Na at (0.000, 0.526, 0.764), Na at (0.000, 0.528, 0.233), Na at (0.241, 0.655, 0.498) and Tl at (0.000, 0.839, 0.501).

The density of states at the Fermi level is 0.39 states/eV per atom. The value obtained for the relative energy among the computed polymorphs is 0.00 kJ/mol of atoms.



Material: Ce2MnCo3P4
Method: DFT, PBE-GGA
State: optimized geometry

The space group is P-4m2 (No. 115) and the conventional cell measures 3.979, 3.979 and 9.057 Å, with angles of 90.00, 90.00 and 90.00 degrees. The distinct sites, in fractional coordinates, are Ce at (0.000, 0.500, 0.246), Mn at (0.000, 0.000, 0.500), Co at (0.000, 0.500, 0.888), Co at (0.500, 0.500, 0.500), P at (0.000, 0.000, 0.000), P at (0.000, 0.500, 0.630) and P at (0.500, 0.500, 0.000).

The total energy comes out at -7.409 eV per atom. The density of states at the Fermi level is 0.98 states/eV per atom.



Material: Sc2MoH
Method: DFT, PBE-GGA
State: optimized geometry

The space group is Fm-3m (No. 225) and the conventional cell measures 6.432, 6.432 and 6.432 Å, with angles of 90.00, 90.00 and 90.00 degrees. The distinct sites, in fractional coordinates, are Sc at (0.250, 0.250, 0.250), Mo at (0.000, 0.000, 0.000) and H at (0.000, 0.000, 0.500).

The density of states at the Fermi level is 0.60 states/eV per atom. The value obtained for the relative energy among the computed polymorphs is 38.55 kJ/mol of atoms.



Material: Pr3Dy2Er8
Method: DFT, PBE-GGA
State: optimized geometry

The space group is C2/m (No. 12) and the conventional cell measures 20.043, 7.713 and 5.618 Å, with angles of 90.00, 90.05 and 90.00 degrees. The distinct sites, in fractional coordinates, are Pr at (0.000, 0.000, 0.000), Pr at (0.000, 0.293, 0.500), Dy at (0.241, 0.000, 0.999), Er at (0.110, 0.292, 0.000), Er at (0.136, 0.000, 0.500) and Er at (0.172, 0.500, 0.501).

The density of states at the Fermi level is 1.69 states/eV per atom. The value obtained for the relative energy among the computed polymorphs is 22.22 kJ/mol of atoms.



Material: Pm3OsCl3
Method: DFT, PBE-GGA
State: optimized geometry

The space group is P2_1/m (No. 11) and the conventional cell measures 8.464, 4.205 and 11.898 Å, with angles of 90.00, 90.28 and 90.00 degrees. The distinct sites, in fractional coordinates, are Pm at (0.104, 0.250, 0.168), Pm at (0.152, 0.250, 0.644), Pm at (0.279, 0.750, 0.402), Os at (0.053, 0.250, 0.403), Cl at (0.114, 0.250, 0.901), Cl at (0.326, 0.750, 0.157) and Cl at (0.439, 0.750, 0.625).

The value obtained for the uncorrected formation energy is -135.6 kJ per mole of atoms. The density of states at the Fermi level is 0.44 states/eV per atom.